i.
Material: Pr2DyBr
Method: DFT, PBE-GGA
State: optimized geometry

## Properties
symmetry: R-3m, No. 166
total magnetic moment: 0.00 Bohr magnetons per cell

Cell: 10.8987 10.8987 10.8987 Å, 19.70 19.70 19.70°
With the nearest neighbours (Å) after each atom.
Atoms (fractional coordinates):
Pr: 0.2428 0.2428 0.2428  3 Br 3.25, 3 Dy 3.61
Pr: 0.7572 0.7572 0.7572  3 Br 3.25, 3 Dy 3.61
Dy: 0.0000 0.0000 0.0000  6 Pr 3.61, 6 Dy 3.73
Br: 0.5000 0.5000 0.5000  6 Pr 3.25

***

ii.
Material: Pr2DyBr
Method: DFT, PBE-GGA
State: optimized geometry

## Properties
symmetry: P4/mmm, No. 123
total magnetic moment: 0.00 Bohr magnetons per cell

Cell: 3.6222 3.6222 9.7420 Å, 90.00 90.00 90.00°
With the nearest neighbours (Å) after each atom.
Atoms (fractional coordinates):
Pr: 0.0000 0.0000 0.2352  4 Br 3.44, 4 Pr 3.62, 4 Dy 3.64
Pr: 0.0000 0.0000 0.7648  4 Br 3.44, 4 Pr 3.62, 4 Dy 3.64
Dy: 0.5000 0.5000 0.5000  4 Dy 3.62, 8 Pr 3.64
Br: 0.5000 0.5000 0.0000  8 Pr 3.44, 4 Br 3.62

***

Of them, the most stable is i and the least stable is ii.

***

i.
Material: PrDyBr2
Method: DFT, PBE-GGA
State: optimized geometry

## Properties
symmetry: R-3m, No. 166
total magnetic moment: 0.37 Bohr magnetons per cell

Cell: 10.4987 10.4987 10.4987 Å, 20.12 20.12 20.12°
With the nearest neighbours (Å) after each atom.
Atoms (fractional coordinates):
Pr: 0.0000 0.0000 0.0000  2 Br 3.07
Dy: 0.5000 0.5000 0.5000  6 Br 2.96
Br: 0.0996 0.0996 0.0996  3 Dy 2.96, 1 Pr 3.07
Br: 0.9004 0.9004 0.9004  3 Dy 2.96, 1 Pr 3.07

***

ii.
Material: PrDyBr2
Method: DFT, PBE-GGA
State: optimized geometry

## Properties
symmetry: R3m, No. 160
total magnetic moment: 0.00 Bohr magnetons per cell

Cell: 9.6360 9.6360 9.6360 Å, 21.84 21.84 21.84°
With the nearest neighbours (Å) after each atom.
Atoms (fractional coordinates):
Pr: 0.0000 0.0000 0.0000  6 Br 3.16-3.23
Dy: 0.1638 0.1638 0.1638  6 Br 3.09-3.14
Br: 0.5797 0.5797 0.5797  3 Dy 3.14, 3 Pr 3.23
Br: 0.7504 0.7504 0.7504  3 Dy 3.09, 3 Pr 3.16

***

Of them, the most stable is ii and the least stable is i.

***

i.
Material: Dy2RhBr
Method: DFT, PBE-GGA
State: optimized geometry

## Properties
symmetry: R3m, No. 160
total magnetic moment: 0.00 Bohr magnetons per cell

Cell: 8.0515 8.0515 8.0515 Å, 28.72 28.72 28.72°
With the nearest neighbours (Å) after each atom.
Atoms (fractional coordinates):
Dy: 0.0000 0.0000 0.0000  3 Rh 2.73
Dy: 0.2062 0.2062 0.2062  3 Rh 2.74
Rh: 0.6036 0.6036 0.6036  6 Dy 2.73-2.74
Br: 0.7743 0.7743 0.7743  6 Dy 3.24-3.39

***

ii.
Material: Dy2RhBr
Method: DFT, PBE-GGA
State: optimized geometry

## Properties
symmetry: Cm, No. 8
total magnetic moment: 0.00 Bohr magnetons per cell

Cell: 4.0448 4.0448 7.9821 Å, 90.16 90.16 59.98°
With the nearest neighbours (Å) after each atom.
Atoms (fractional coordinates):
Dy: 0.0000 0.0000 0.0000  3 Rh 2.72, 1 Br 2.97
Dy: 0.6652 0.6652 0.6357  3 Rh 2.78
Rh: 0.3327 0.3327 0.8257  6 Dy 2.72-2.78
Br: 0.9979 0.9979 0.3727  4 Dy 2.97-3.14

***

Of them, the most stable is ii and the least stable is i.